1.
# CaNb3Ru

Crystalline CaNb3Ru at its relaxed geometry (GGA-PBE, the Alexandria database).

a b c (Å): 4.6319 4.6319 4.6319
angles (deg): 90.00 90.00 90.00
Last column: nearest neighbours and their distance in Å.
Space group Pm-3m (No. 221)
Symmetry-distinct sites (fractional):
Ca: 0.0000 0.0000 0.0000 x1  6 Nb 2.32
Nb: 0.0000 0.0000 0.5000 x3  2 Ca 2.32
Ru: 0.5000 0.5000 0.5000 x1  12 Nb 3.28

Results
- ρ (Mg/m³) = 7.02
- energy of formation (meV per atom) = 2452

---

2.
# Ho6BiS4

Crystalline Ho6BiS4 at its relaxed geometry (GGA-PBE, the Alexandria database).

a b c (Å): 3.9931 12.8107 20.0242
angles (deg): 90.00 90.00 90.00
Last column: nearest neighbours and their distance in Å.
Space group Cmcm (No. 63)
Symmetry-distinct sites (fractional):
Ho: 0.0000 0.0000 0.0000 x4  6 S 2.71-2.78
Ho: 0.0000 0.1495 0.2500 x4  2 S 2.68
Ho: 0.0000 0.2717 0.5855 x8  5 S 2.73-2.79
Ho: 0.0000 0.4602 0.1571 x8  3 S 2.70-2.72
Bi: 0.0000 0.1645 0.7500 x4  6 Ho 3.11-3.16
S: 0.0000 0.0935 0.1212 x8  6 Ho 2.68-2.73
S: 0.0000 0.3613 0.0381 x8  6 Ho 2.70-2.79

Results
- ρ (Mg/m³) = 8.60
- energy relative to the elements, uncorrected (meV/atom) = -1589

---

3.
# Pm3Dy4Ho

Crystalline Pm3Dy4Ho at its relaxed geometry (GGA-PBE, the Alexandria database).

a b c (Å): 23.5415 3.4790 6.7430
angles (deg): 90.00 106.59 90.00
Last column: nearest neighbours and their distance in Å.
Space group C2/m (No. 12)
Symmetry-distinct sites (fractional):
Pm: 0.0000 0.0000 0.0000 x2  2 Dy 3.32, 4 Pm 3.32-3.48
Pm: 0.1258 0.0000 0.8702 x4  5 Dy 3.27-3.54, 3 Pm 3.32-3.48
Dy: 0.1248 0.0000 0.3842 x4  3 Pm 3.27-3.47, 5 Dy 3.48-3.51
Dy: 0.2404 0.5000 0.7345 x4  9 Dy 3.48-3.89, 3 Pm 3.50-3.54
Ho: 0.0000 0.5000 0.5000 x2  2 Ho 3.48, 4 Dy 3.68, 8 Pm 3.72-3.79

Results
- ρ (Mg/m³) = 7.84
- energy of formation (meV per atom) = 161